Record 1
The following is a DFT calculation (PBE-GGA) of crystalline SrLi2Be at its relaxed geometry. Values from VASP.

VASP energy   -1.87 eV per atom
Size of the total moment   0.00 μB per formula unit
Formation enthalpy at 0 K   1.74 eV per formula unit

Quantum ESPRESSO input file:
```
&SYSTEM
  ibrav = 0, nat = 16, ntyp = 3
/
ATOMIC_SPECIES
Sr 87.62 Sr.upf
Li 6.94 Li.upf
Be 9.01 Be.upf
CELL_PARAMETERS angstrom
4.524 0.000 0.000
0.000 4.524 0.000
0.000 0.000 19.866
ATOMIC_POSITIONS crystal
Sr 0.000 0.000 0.000
Sr 0.000 0.500 0.250
Sr 0.500 0.000 0.750
Sr 0.500 0.500 0.500
Li 0.121 0.750 0.625
Li 0.250 0.121 0.375
Li 0.250 0.379 0.875
Li 0.379 0.750 0.125
Li 0.621 0.250 0.125
Li 0.750 0.621 0.875
Li 0.750 0.879 0.375
Li 0.879 0.250 0.625
Be 0.000 0.000 0.500
Be 0.000 0.500 0.750
Be 0.500 0.000 0.250
Be 0.500 0.500 0.000
```

***

Record 2
The following is a DFT calculation (PBE-GGA) of crystalline LuPuCuAg at its relaxed geometry. Values from VASP.

VASP energy   -6.48 eV per atom
Size of the total moment   5.64 μB per formula unit
Formation enthalpy at 0 K   -0.12 eV per formula unit

Quantum ESPRESSO input file:
```
&SYSTEM
  ibrav = 0, nat = 16, ntyp = 4
/
ATOMIC_SPECIES
Lu 174.97 Lu.upf
Pu 244.00 Pu.upf
Cu 63.55 Cu.upf
Ag 107.87 Ag.upf
CELL_PARAMETERS angstrom
7.097 0.000 0.000
0.000 7.097 0.000
0.000 0.000 7.097
ATOMIC_POSITIONS crystal
Lu 0.000 0.000 0.000
Lu 0.000 0.500 0.500
Lu 0.500 0.000 0.500
Lu 0.500 0.500 0.000
Pu 0.000 0.000 0.500
Pu 0.000 0.500 0.000
Pu 0.500 0.000 0.000
Pu 0.500 0.500 0.500
Cu 0.250 0.250 0.250
Cu 0.250 0.750 0.750
Cu 0.750 0.250 0.750
Cu 0.750 0.750 0.250
Ag 0.250 0.250 0.750
Ag 0.250 0.750 0.250
Ag 0.750 0.250 0.250
Ag 0.750 0.750 0.750
```

***

Record 3
The following is a DFT calculation (PBE-GGA) of crystalline RbAcHgGe at its relaxed geometry. Values from VASP.

VASP energy   -2.72 eV per atom
Size of the total moment   0.00 μB per formula unit
Formation enthalpy at 0 K   -0.89 eV per formula unit

Quantum ESPRESSO input file:
```
&SYSTEM
  ibrav = 0, nat = 16, ntyp = 4
/
ATOMIC_SPECIES
Rb 85.47 Rb.upf
Ac 227.00 Ac.upf
Hg 200.59 Hg.upf
Ge 72.64 Ge.upf
CELL_PARAMETERS angstrom
8.071 0.000 0.000
0.000 8.071 0.000
0.000 0.000 8.071
ATOMIC_POSITIONS crystal
Rb 0.000 0.000 0.000
Rb 0.000 0.500 0.500
Rb 0.500 0.000 0.500
Rb 0.500 0.500 0.000
Ac 0.000 0.000 0.500
Ac 0.000 0.500 0.000
Ac 0.500 0.000 0.000
Ac 0.500 0.500 0.500
Hg 0.250 0.250 0.750
Hg 0.250 0.750 0.250
Hg 0.750 0.250 0.250
Hg 0.750 0.750 0.750
Ge 0.250 0.250 0.250
Ge 0.250 0.750 0.750
Ge 0.750 0.250 0.750
Ge 0.750 0.750 0.250
```

***

Record 4
The following is a DFT calculation (PBE-GGA) of crystalline DyHfBe at its relaxed geometry. Values from VASP.

VASP energy   -5.98 eV per atom
Size of the total moment   0.00 μB per formula unit
Formation enthalpy at 0 K   0.33 eV per formula unit

Quantum ESPRESSO input file:
```
&SYSTEM
  ibrav = 0, nat = 6, ntyp = 3
/
ATOMIC_SPECIES
Dy 162.50 Dy.upf
Hf 178.49 Hf.upf
Be 9.01 Be.upf
CELL_PARAMETERS angstrom
3.223 0.000 0.000
0.000 3.223 0.000
0.000 0.000 11.761
ATOMIC_POSITIONS crystal
Dy 0.000 0.000 0.000
Dy 0.500 0.500 0.500
Hf 0.000 0.000 0.292
Hf 0.500 0.500 0.792
Be 0.000 0.000 0.667
Be 0.500 0.500 0.167
```

***

Record 5
The following is a DFT calculation (PBE-GGA) of crystalline Y6In3Ru at its relaxed geometry. Values from VASP.

VASP energy   -5.98 eV per atom
Size of the total moment   0.00 μB per formula unit
Offset from the most stable computed form   36 meV/atom
Formation enthalpy at 0 K   -3.50 eV per formula unit

Quantum ESPRESSO input file:
```
&SYSTEM
  ibrav = 0, nat = 20, ntyp = 3
/
ATOMIC_SPECIES
Y 88.91 Y.upf
In 114.82 In.upf
Ru 101.07 Ru.upf
CELL_PARAMETERS angstrom
9.056 0.000 0.000
0.000 11.578 0.000
0.000 0.000 5.220
ATOMIC_POSITIONS crystal
Y 0.010 0.236 0.000
Y 0.156 0.082 0.500
Y 0.189 0.415 0.500
Y 0.311 0.915 0.000
Y 0.344 0.582 0.000
Y 0.490 0.736 0.500
Y 0.510 0.264 0.500
Y 0.656 0.418 0.000
Y 0.689 0.085 0.000
Y 0.811 0.585 0.500
Y 0.844 0.918 0.500
Y 0.990 0.764 0.000
In 0.000 0.500 0.000
In 0.156 0.731 0.500
In 0.344 0.231 0.000
In 0.500 0.000 0.500
In 0.656 0.769 0.000
In 0.844 0.269 0.500
Ru 0.000 0.000 0.000
Ru 0.500 0.500 0.500
```

***

Record 6
The following is a DFT calculation (PBE-GGA) of crystalline Tl5Cl at its relaxed geometry. Values from VASP.

VASP energy   -2.51 eV per atom
Size of the total moment   0.00 μB per formula unit
Offset from the most stable computed form   0 meV/atom
Energy relative to the elements, uncorrected   -235 meV/atom

Quantum ESPRESSO input file:
```
&SYSTEM
  ibrav = 0, nat = 12, ntyp = 2
/
ATOMIC_SPECIES
Tl 204.38 Tl.upf
Cl 35.45 Cl.upf
CELL_PARAMETERS angstrom
5.566 0.000 0.000
0.000 17.888 0.000
0.000 0.000 3.697
ATOMIC_POSITIONS crystal
Tl 0.000 0.000 0.000
Tl 0.000 0.180 0.500
Tl 0.000 0.349 0.000
Tl 0.000 0.651 0.000
Tl 0.000 0.820 0.500
Tl 0.500 0.151 0.000
Tl 0.500 0.320 0.500
Tl 0.500 0.500 0.000
Tl 0.500 0.680 0.500
Tl 0.500 0.849 0.000
Cl 0.000 0.500 0.500
Cl 0.500 0.000 0.500
```

***

Record 7
The following is a DFT calculation (PBE-GGA) of crystalline CaAlIr3 at its relaxed geometry. Values from VASP.

VASP energy   -4.35 eV per atom
Size of the total moment   0.00 μB per formula unit
Offset from the most stable computed form   1798 meV/atom
Formation enthalpy at 0 K   10.57 eV per formula unit

Quantum ESPRESSO input file:
```
&SYSTEM
  ibrav = 0, nat = 5, ntyp = 3
/
ATOMIC_SPECIES
Ca 40.08 Ca.upf
Al 26.98 Al.upf
Ir 192.22 Ir.upf
CELL_PARAMETERS angstrom
4.744 0.000 0.000
0.000 4.744 0.000
0.000 0.000 4.744
ATOMIC_POSITIONS crystal
Ca 0.000 0.000 0.000
Al 0.500 0.500 0.500
Ir 0.000 0.000 0.500
Ir 0.000 0.500 0.000
Ir 0.500 0.000 0.000
```

***

Record 8
The following is a DFT calculation (PBE-GGA) of crystalline ZrRe3P at its relaxed geometry. Values from VASP.

VASP energy   -7.34 eV per atom
Size of the total moment   2.04 μB per formula unit
Offset from the most stable computed form   2614 meV/atom
Formation enthalpy at 0 K   14.62 eV per formula unit

Quantum ESPRESSO input file:
```
&SYSTEM
  ibrav = 0, nat = 5, ntyp = 3
/
ATOMIC_SPECIES
Zr 91.22 Zr.upf
Re 186.21 Re.upf
P 30.97 P.upf
CELL_PARAMETERS angstrom
4.808 0.000 0.000
0.000 4.808 0.000
0.000 0.000 4.808
ATOMIC_POSITIONS crystal
Zr 0.000 0.000 0.000
Re 0.000 0.000 0.500
Re 0.000 0.500 0.000
Re 0.500 0.000 0.000
P 0.500 0.500 0.500
```

***

Record 9
The following is a DFT calculation (PBE-GGA) of crystalline KSiPCl2 at its relaxed geometry. Values from VASP.

VASP energy   -3.60 eV per atom
Size of the total moment   0.89 μB per formula unit
Offset from the most stable computed form   0 meV/atom
Energy relative to the elements, uncorrected   -478 meV/atom

Quantum ESPRESSO input file:
```
&SYSTEM
  ibrav = 0, nat = 5, ntyp = 4
/
ATOMIC_SPECIES
K 39.10 K.upf
Si 28.09 Si.upf
P 30.97 P.upf
Cl 35.45 Cl.upf
CELL_PARAMETERS angstrom
5.218 0.000 0.000
0.000 5.218 0.000
0.000 0.000 4.538
ATOMIC_POSITIONS crystal
K 0.000 0.000 0.000
Si 0.500 0.500 0.500
P 0.500 0.500 0.000
Cl 0.000 0.500 0.500
Cl 0.500 0.000 0.500
```

***

Record 10
The following is a DFT calculation (PBE-GGA) of crystalline CaY2ZnAu4 at its relaxed geometry. Values from VASP.

VASP energy   -4.38 eV per atom
Size of the total moment   0.00 μB per formula unit
Formation enthalpy at 0 K   -5.71 eV per formula unit

Quantum ESPRESSO input file:
```
&SYSTEM
  ibrav = 0, nat = 8, ntyp = 4
/
ATOMIC_SPECIES
Ca 40.08 Ca.upf
Y 88.91 Y.upf
Zn 65.41 Zn.upf
Au 196.97 Au.upf
CELL_PARAMETERS angstrom
2.487 1.436 8.146
-2.487 1.436 8.146
0.000 -2.871 8.146
ATOMIC_POSITIONS crystal
Ca 0.000 0.000 0.000
Y 0.243 0.243 0.243
Y 0.757 0.757 0.757
Zn 0.500 0.500 0.500
Au 0.123 0.123 0.123
Au 0.378 0.378 0.378
Au 0.622 0.622 0.622
Au 0.877 0.877 0.877
```